Material: K3LiAs2S6
Method: DFT, GGA-PBE
State: optimized geometry

The theoretical density comes out at 2.08 g/cm3. As for the uncorrected formation energy: -0.634 eV/atom. Its volume is 31.1 Å³/atom.

Unit cell a=7.1805 b=7.1805 c=8.3471 alpha=90.00 beta=90.00 gamma=120.00
Last column: nearest neighbours and their distance in Å.
Atoms (fractional coordinates):
K  0.0000  0.0000  0.0000  6 S 3.24
K  0.3333  0.6667  0.6436  1 As 3.52, 9 S 3.55-3.62
K  0.6667  0.3333  0.3564  1 As 3.52, 9 S 3.55-3.62
Li  0.0000  0.0000  0.5000  6 S 2.66
As  0.3333  0.6667  0.2217  3 S 2.18
As  0.6667  0.3333  0.7783  3 S 2.18
S  0.1659  0.3318  0.2996  1 As 2.18
S  0.1659  0.8341  0.2996  1 As 2.18
S  0.3318  0.1659  0.7004  1 As 2.18
S  0.6682  0.8341  0.2996  1 As 2.18
S  0.8341  0.1659  0.7004  1 As 2.18
S  0.8341  0.6682  0.7004  1 As 2.18



Material: Be2Ga2CuNi5
Method: DFT, GGA-PBE
State: optimized geometry

The theoretical density comes out at 7.67 g/cm3. Its energy of formation from the pure elements is -0.221 eV/atom. Its volume is 11.1 Å³/atom.

Unit cell a=8.2311 b=8.2311 c=3.2862 alpha=90.00 beta=90.00 gamma=90.00
Last column: nearest neighbours and their distance in Å.
Atoms (fractional coordinates):
Be  0.1237  0.3763  0.0000  6 Ni 2.19, 1 Ga 2.35
Be  0.3763  0.8763  0.0000  6 Ni 2.19, 1 Ga 2.35
Be  0.6237  0.1237  0.0000  6 Ni 2.19, 1 Ga 2.35
Be  0.8763  0.6237  0.0000  6 Ni 2.19, 1 Ga 2.35
Ga  0.1740  0.6740  0.0000  3 Be 2.35-2.49, 2 Ni 2.61
Ga  0.3260  0.1740  0.0000  3 Be 2.35-2.49, 2 Ni 2.61
Ga  0.6740  0.8260  0.0000  3 Be 2.35-2.49, 2 Ni 2.61
Ga  0.8260  0.3260  0.0000  3 Be 2.35-2.49, 2 Ni 2.61
Cu  0.0000  0.0000  0.0000  8 Ni 2.45
Cu  0.5000  0.5000  0.0000  8 Ni 2.45
Ni  0.0000  0.5000  0.5000  4 Be 2.19
Ni  0.0764  0.2063  0.5000  2 Be 2.19, 2 Cu 2.45
Ni  0.2063  0.9236  0.5000  2 Be 2.19, 2 Cu 2.45
Ni  0.2937  0.4236  0.5000  2 Be 2.19, 2 Cu 2.45
Ni  0.4236  0.7063  0.5000  2 Be 2.19, 2 Cu 2.45
Ni  0.5000  0.0000  0.5000  4 Be 2.19
Ni  0.5764  0.2937  0.5000  2 Be 2.19, 2 Cu 2.45
Ni  0.7063  0.5764  0.5000  2 Be 2.19, 2 Cu 2.45
Ni  0.7937  0.0764  0.5000  2 Be 2.19, 2 Cu 2.45
Ni  0.9236  0.7937  0.5000  2 Be 2.19, 2 Cu 2.45



Material: Ta2ReBr
Method: DFT, GGA-PBE
State: optimized geometry

The theoretical density comes out at 15.06 g/cm3. As for the uncorrected formation energy: 0.587 eV/atom. As for the relative energy among the computed polymorphs: 408 meV per atom. Its volume is 17.3 Å³/atom.

Unit cell a=4.7574 b=4.7574 c=3.0602 alpha=90.00 beta=90.00 gamma=90.00
Last column: nearest neighbours and their distance in Å.
Atoms (fractional coordinates):
Ta  0.0000  0.5000  0.0000  4 Re 2.83, 4 Br 2.83, 2 Ta 3.06
Ta  0.5000  0.0000  0.0000  4 Re 2.83, 4 Br 2.83, 2 Ta 3.06
Re  0.0000  0.0000  0.5000  8 Ta 2.83, 2 Re 3.06
Br  0.5000  0.5000  0.5000  8 Ta 2.83, 2 Br 3.06



Q: What is the volume in the first record?
A: 31.1 Å³/atom